This record from Alexandria describes crystalline TaAsSe2Br at its relaxed geometry. The functional is PBE-GGA.

Summary:
**E**: -20.08 eV per cell
**Theoretical density**: 6.46 Mg/m³
**ΔE_f (raw)**: 1.013 eV per atom

The structure in CIF format:
```
data_TaAsSe2Br
_symmetry_space_group_name_H-M 'P 1'
_symmetry_Int_Tables_number 1
_cell_length_a 5.060
_cell_length_b 5.060
_cell_length_c 4.955
_cell_angle_alpha 90.00
_cell_angle_beta 90.00
_cell_angle_gamma 90.00
loop_
_symmetry_equiv_pos_as_xyz
'x,y,z'
loop_
_atom_site_label
_atom_site_type_symbol
_atom_site_fract_x
_atom_site_fract_y
_atom_site_fract_z
Ta1 Ta 0.000 0.000 0.000
As1 As 0.500 0.500 0.500
Se1 Se 0.000 0.500 0.500
Se2 Se 0.500 0.000 0.500
Br1 Br 0.500 0.500 0.000
```